First-principles (PBE) data for a geometry-optimized CaZrN2 structure, as listed in Alexandria via LeMat-Bulk.

Cell lengths 3.3050, 3.3050, 6.1279 Å; angles 74.36, 74.36, 60.00 degrees
Fractional coordinates of all 4 atoms:
Ca 0.4947 0.4947 0.5160
Zr 0.6671 0.6671 0.9987
N 0.0733 0.0733 0.7801
N 0.2650 0.2650 0.2051

The calculation puts the mass density at 4.8 Mg/m³. The calculation puts the raw formation energy at -1.337 eV/atom. As for the total magnetic moment: 0.00 Bohr magnetons per cell.


First-principles (PBE) data for a geometry-optimized Tb3PmDy3Te8 structure, as listed in Alexandria via LeMat-Bulk.

Cell lengths 8.7029, 8.7030, 8.7015 Å; angles 120.01, 90.00, 120.00 degrees
Fractional coordinates of all 15 atoms:
Tb 0.0000 0.0000 0.0000
Tb 0.0000 0.5000 0.0000
Tb 0.5000 0.5000 0.0000
Pm 0.0000 0.0000 0.5000
Dy 0.5000 0.0000 0.5000
Dy 0.5000 0.5000 0.5000
Dy 0.0000 0.5000 0.5000
Te 0.2505 0.5010 0.2516
Te 0.7495 0.4990 0.7484
Te 0.7402 0.4804 0.2413
Te 0.2598 0.5196 0.7587
Te 0.7402 0.0011 0.2413
Te 0.2598 0.9989 0.7587
Te 0.2609 0.0011 0.2413
Te 0.7391 0.9989 0.7587

The calculation puts the mass density at 7.6 Mg/m³. The calculation puts the raw formation energy at -1.382 eV/atom. As for the total magnetic moment: 0.00 Bohr magnetons per cell.